This record from Alexandria describes crystalline TmHfS at its relaxed geometry. The functional is PBE.

Lattice parameters (Å, degrees): 4.472 4.472 3.767 90.00 90.00 120.00
Atoms (fractional coordinates):
Tm1 0.000 0.000 0.000
Hf1 0.333 0.667 0.500
S1 0.667 0.333 0.500

Values from the calculation:
- ΔE_f (raw): -0.491 eV/atom
- D(E_F): 2.065 states/eV/f.u.
- E_tot: -6.676 eV per atom
- Calculated density: 9.66 g/cm³
- SG: P-6m2 (187)
- Calculated volume: 65.2 Å³/cell
- Size of the total moment: 0.00 μB/f.u.